This record from Alexandria via LeMat-Bulk describes an optimized crystal structure of Na12Pd3Cl5. The functional is PBE-GGA.

**Final energy**: -2.820 eV per atom
**Total moment**: 0.0 μB per formula unit
**D(E_F)**: 3.32 states/eV/f.u.

Cell lengths 14.409, 14.409, 14.409 Å; angles 109.47, 109.47, 109.47 degrees
Positions (direct):
Na 0.054 0.223 0.140
Na 0.054 0.330 0.913
Na 0.083 0.723 0.670
Na 0.083 0.860 0.413
Na 0.087 0.640 0.417
Na 0.087 0.946 0.670
Na 0.140 0.054 0.223
Na 0.140 0.587 0.917
Na 0.170 0.223 0.583
Na 0.170 0.446 0.587
Na 0.223 0.140 0.054
Na 0.223 0.583 0.170
Na 0.277 0.330 0.917
Na 0.277 0.446 0.360
Na 0.330 0.913 0.054
Na 0.330 0.917 0.277
Na 0.360 0.277 0.446
Na 0.360 0.583 0.913
Na 0.413 0.083 0.860
Na 0.413 0.830 0.554
Na 0.417 0.087 0.640
Na 0.417 0.830 0.777
Na 0.446 0.360 0.277
Na 0.446 0.587 0.170
Na 0.554 0.413 0.830
Na 0.554 0.640 0.723
Na 0.583 0.170 0.223
Na 0.583 0.913 0.360
Na 0.587 0.170 0.446
Na 0.587 0.917 0.140
Na 0.640 0.417 0.087
Na 0.640 0.723 0.554
Na 0.670 0.083 0.723
Na 0.670 0.087 0.946
Na 0.723 0.554 0.640
Na 0.723 0.670 0.083
Na 0.777 0.417 0.830
Na 0.777 0.860 0.946
Na 0.830 0.554 0.413
Na 0.830 0.777 0.417
Na 0.860 0.413 0.083
Na 0.860 0.946 0.777
Na 0.913 0.054 0.330
Na 0.913 0.360 0.583
Na 0.917 0.140 0.587
Na 0.917 0.277 0.330
Na 0.946 0.670 0.087
Na 0.946 0.777 0.860
Pd 0.125 0.250 0.375
Pd 0.125 0.375 0.750
Pd 0.250 0.375 0.125
Pd 0.250 0.875 0.625
Pd 0.375 0.125 0.250
Pd 0.375 0.750 0.125
Pd 0.625 0.250 0.875
Pd 0.625 0.875 0.750
Pd 0.750 0.125 0.375
Pd 0.750 0.625 0.875
Pd 0.875 0.625 0.250
Pd 0.875 0.750 0.625
Cl 0.000 0.000 0.000
Cl 0.000 0.000 0.500
Cl 0.000 0.500 0.000
Cl 0.000 0.500 0.500
Cl 0.125 0.750 0.875
Cl 0.125 0.875 0.250
Cl 0.250 0.125 0.875
Cl 0.250 0.625 0.375
Cl 0.375 0.250 0.625
Cl 0.375 0.625 0.750
Cl 0.500 0.000 0.000
Cl 0.500 0.000 0.500
Cl 0.500 0.500 0.000
Cl 0.500 0.500 0.500
Cl 0.625 0.375 0.250
Cl 0.625 0.750 0.375
Cl 0.750 0.375 0.625
Cl 0.750 0.875 0.125
Cl 0.875 0.125 0.750
Cl 0.875 0.250 0.125